Here is crystalline Cs3LaNd2S6 at its relaxed geometry from Alexandria. Energies are from PBE-GGA.

Results
The volume is 386 Å³/cell. The total moment is 0.0 μB/cell. For the formation energy from raw total energies, the calculation gives -1.836 eV per atom.

a b c (Å): 7.4217 7.4217 8.4621
angles (deg): 98.40 98.40 120.00
Fractional positions:
1 Cs 0.1664 0.8336 0.5000
2 Cs 0.8336 0.1664 0.5000
3 Cs 0.5000 0.5000 0.5000
4 La 0.0000 0.0000 0.0000
5 Nd 0.3333 0.6667 0.0000
6 Nd 0.6667 0.3333 0.0000
7 S 0.9378 0.6008 0.8134
8 S 0.7251 0.7251 0.1864
9 S 0.0622 0.3992 0.1866
10 S 0.6008 0.9378 0.8134
11 S 0.2749 0.2749 0.8136
12 S 0.3992 0.0622 0.1866